Record 1
{
  "formula": "ReSb2Te",
  "functional": "PBE-GGA",
  "state": "optimized geometry",
  "lattice": [[-5.209, 1.809, -4.576], [-7.139, -0.591, 0.195], [6.322, 2.203, 2.555]],
  "species": ["Re", "Sb", "Sb", "Te"],
  "fractional_positions": [[0.262, 0.762, 0.500], [0.079, 0.079, 0.000], [0.733, 0.233, 0.500], [0.426, 0.426, 0.000]],
  "raw_formation_energy_ev_per_atom": 0.4305,
  "m_tot_mub_per_cell": 0.00
}

Record 2
{
  "formula": "Sr2MnOs",
  "functional": "PBE-GGA",
  "state": "optimized geometry",
  "lattice": [[4.030, -0.003, 0.044], [2.018, 3.488, 0.044], [1.959, 1.129, 8.706]],
  "species": ["Mn", "Os", "Sr", "Sr"],
  "fractional_positions": [[0.545, 0.545, 0.365], [0.205, 0.205, 0.384], [0.964, 0.964, 0.111], [0.785, 0.785, 0.640]],
  "m_tot_mub_per_cell": 0.20,
  "formation_energy_ev_per_atom": 0.236
}

Record 3
{
  "formula": "NaPd2Rh3Se8",
  "functional": "PBE-GGA",
  "state": "optimized geometry",
  "lattice": [[-1.737, 1.477, -7.143], [-5.522, -3.786, -3.376], [-6.584, 3.595, -1.591]],
  "species": ["Na", "Pd", "Pd", "Rh", "Rh", "Rh", "Se", "Se", "Se", "Se", "Se", "Se", "Se", "Se"],
  "fractional_positions": [[0.870, 0.870, 0.391], [0.126, 0.126, 0.623], [0.500, 0.500, 0.500], [0.501, 0.997, 0.002], [0.997, 0.501, 0.002], [0.501, 0.501, 0.002], [0.262, 0.262, 0.213], [0.731, 0.731, 0.808], [0.260, 0.260, 0.769], [0.712, 0.260, 0.769], [0.260, 0.712, 0.769], [0.735, 0.306, 0.225], [0.306, 0.735, 0.225], [0.735, 0.735, 0.225]],
  "raw_formation_energy_ev_per_atom": -0.4112,
  "m_tot_mub_per_cell": 0.00
}

Record 4
{
  "formula": "Nb3OsW",
  "functional": "PBE-GGA",
  "state": "optimized geometry",
  "lattice": [[-0.389, 0.114, 4.743], [4.561, -1.301, 0.405], [1.306, 4.578, -0.003]],
  "species": ["Nb", "Nb", "Nb", "Os", "W"],
  "fractional_positions": [[0.000, 0.500, 0.000], [0.000, 0.000, 0.500], [0.500, 0.000, 0.000], [0.500, 0.500, 0.500], [0.000, 0.000, 0.000]],
  "m_tot_mub_per_cell": 0.00,
  "formation_energy_ev_per_atom": 1.824
}

Record 5
{
  "formula": "PuNbTc2",
  "functional": "PBE-GGA",
  "state": "optimized geometry",
  "lattice": [[-2.387, -0.396, -2.158], [-0.135, -3.156, 0.728], [-4.520, 1.292, 4.763]],
  "species": ["Nb", "Tc", "Tc", "Pu"],
  "fractional_positions": [[0.500, 0.500, 0.000], [0.000, 0.000, 0.764], [0.000, 0.000, 0.236], [0.500, 0.500, 0.500]],
  "m_tot_mub_per_cell": 4.09,
  "formation_energy_ev_per_atom": -0.068
}

Record 6
{
  "formula": "Y2TaAl",
  "functional": "PBE-GGA",
  "state": "optimized geometry",
  "lattice": [[4.865, 0.000, 0.000], [0.000, 3.360, 0.012], [0.000, 1.658, 5.932]],
  "species": ["Y", "Y", "Al", "Ta"],
  "fractional_positions": [[0.000, 0.965, 0.944], [0.500, 0.284, 0.307], [0.000, 0.687, 0.501], [0.500, 0.564, 0.747]],
  "m_tot_mub_per_cell": 0.00,
  "formation_energy_ev_per_atom": 0.045
}

Record 7
{
  "formula": "LiCdHg2I",
  "functional": "PBE-GGA",
  "state": "optimized geometry",
  "lattice": [[5.848, 0.000, 0.000], [0.000, 5.224, 0.000], [0.000, 0.000, 5.848]],
  "species": ["I", "Li", "Hg", "Hg", "Cd"],
  "fractional_positions": [[0.000, 0.500, 0.000], [0.000, 0.000, 0.000], [0.000, 0.000, 0.500], [0.500, 0.000, 0.000], [0.500, 0.500, 0.500]],
  "raw_formation_energy_ev_per_atom": -0.2439,
  "m_tot_mub_per_cell": 0.00
}

Record 8
{
  "formula": "ThSnGe2",
  "functional": "PBE-GGA",
  "state": "optimized geometry",
  "lattice": [[-0.859, -4.188, 0.050], [0.523, -0.053, 4.619], [-4.524, 0.934, 0.523]],
  "species": ["Ge", "Ge", "Sn", "Th"],
  "fractional_positions": [[0.000, 0.000, 0.500], [0.000, 0.500, 0.000], [0.500, 0.000, 0.000], [0.500, 0.500, 0.500]],
  "m_tot_mub_per_cell": 0.00,
  "formation_energy_ev_per_atom": -0.458
}

Record 9
{
  "formula": "SmHo3Th2P6",
  "functional": "PBE-GGA",
  "state": "optimized geometry",
  "lattice": [[-3.843, 1.232, 0.532], [-2.552, -5.761, -5.096], [1.709, -4.668, 7.589]],
  "species": ["Sm", "Ho", "Ho", "Ho", "Th", "Th", "P", "P", "P", "P", "P", "P"],
  "fractional_positions": [[0.500, 0.000, 0.000], [0.500, 0.500, 0.000], [0.834, 0.166, 0.669], [0.166, 0.834, 0.331], [0.835, 0.669, 0.669], [0.165, 0.331, 0.331], [0.332, 0.921, 0.663], [0.665, 0.588, 0.330], [0.668, 0.079, 0.337], [0.998, 0.255, 0.997], [0.002, 0.745, 0.003], [0.335, 0.412, 0.670]],
  "m_tot_mub_per_cell": 0.00,
  "formation_energy_ev_per_atom": -1.596
}

Record 10
{
  "formula": "Na2PuBe2O6",
  "functional": "PBE-GGA",
  "state": "optimized geometry",
  "lattice": [[-4.241, -1.839, 2.618], [1.520, -2.298, -4.542], [3.514, -3.738, 3.068]],
  "species": ["Na", "Na", "Pu", "Be", "Be", "O", "O", "O", "O", "O", "O"],
  "fractional_positions": [[0.333, 0.667, 0.355], [0.667, 0.333, 0.645], [0.000, 0.000, 0.000], [0.333, 0.667, 0.826], [0.667, 0.333, 0.174], [0.276, 0.352, 0.799], [0.077, 0.724, 0.799], [0.648, 0.923, 0.799], [0.724, 0.648, 0.201], [0.923, 0.276, 0.201], [0.352, 0.077, 0.201]],
  "raw_formation_energy_ev_per_atom": -2.2543,
  "m_tot_mub_per_cell": 2.00
}

Record 11
{
  "formula": "SiGeHRh2",
  "functional": "PBE-GGA",
  "state": "optimized geometry",
  "lattice": [[3.988, 0.000, 0.000], [0.000, 3.988, 0.000], [0.000, 0.000, 3.827]],
  "species": ["H", "Ge", "Rh", "Rh", "Si"],
  "fractional_positions": [[0.000, 0.000, 0.000], [0.000, 0.000, 0.500], [0.000, 0.500, 0.000], [0.500, 0.000, 0.000], [0.500, 0.500, 0.500]],
  "m_tot_mub_per_cell": 0.00,
  "dft_energy_ev_per_atom": -5.548
}

Record 12
{
  "formula": "TmNi4P2",
  "functional": "PBE-GGA",
  "state": "optimized geometry",
  "lattice": [[-1.360, 1.852, 2.758], [-4.378, -5.350, 1.434], [4.850, -2.820, 4.286]],
  "species": ["Tm", "Tm", "Ni", "Ni", "Ni", "Ni", "Ni", "Ni", "Ni", "Ni", "P", "P", "P", "P"],
  "fractional_positions": [[0.500, 0.000, 0.000], [0.000, 0.500, 0.500], [0.000, 0.084, 0.335], [0.000, 0.916, 0.665], [0.500, 0.165, 0.584], [0.500, 0.835, 0.416], [0.500, 0.416, 0.835], [0.500, 0.584, 0.165], [0.000, 0.335, 0.084], [0.000, 0.665, 0.916], [0.000, 0.220, 0.780], [0.000, 0.780, 0.220], [0.500, 0.720, 0.720], [0.500, 0.280, 0.280]],
  "m_tot_mub_per_cell": 0.00,
  "formation_energy_ev_per_atom": -0.839
}

Which formula does entry 12 have? TmNi4P2